{
  "formula": "LiPt2Pb2",
  "functional": "PBE",
  "state": "optimized geometry",
  "lattice_angstrom": [[7.456, 0.000, 0.000], [0.000, 7.456, 0.000], [0.000, 0.000, 3.821]],
  "species": ["Li", "Li", "Pt", "Pt", "Pt", "Pt", "Pb", "Pb", "Pb", "Pb"],
  "fractional_positions": [[0.000, 0.000, 0.000], [0.500, 0.500, 0.000], [0.135, 0.365, 0.000], [0.365, 0.865, 0.000], [0.635, 0.135, 0.000], [0.865, 0.635, 0.000], [0.167, 0.667, 0.500], [0.333, 0.167, 0.500], [0.667, 0.833, 0.500], [0.833, 0.333, 0.500]],
  "crystal_system": "tetragonal",
  "density_g_cm3": 12.69,
  "magmom_total_mub_per_fu": 0.0,
  "ef_ev_per_atom": -0.2235,
  "dft_energy_ry_per_atom": -0.3312
}